! Ba2CdCoO4 | the Alexandria database | GGA+U | optimized geometry; values from VASP
! Crystal system   tetragonal
! Magnetization   3.02 μB/f.u.
! Raw total energy   -5.42 eV/atom
! Space-group type   I-4 (82)
&SYSTEM
  ibrav = 0, nat = 8, ntyp = 4
/
ATOMIC_SPECIES
Ba 137.33 Ba.upf
Cd 112.41 Cd.upf
Co 58.93 Co.upf
O 16.00 O.upf
CELL_PARAMETERS angstrom
-3.067 3.067 3.777
3.067 -3.067 3.777
3.067 3.067 -3.777
ATOMIC_POSITIONS crystal
Ba 0.000 0.000 0.000
Ba 0.750 0.250 0.500
Cd 0.500 0.500 0.000
Co 0.250 0.750 0.500
O 0.175 0.095 0.552
O 0.377 0.825 0.920
O 0.543 0.623 0.448
O 0.905 0.457 0.080